No. 1
This record from Alexandria via LeMat-Bulk describes CePd3Pt6 after structural relaxation. The functional is PBE.

Cell: 4.061 9.010 9.105 Å, 90.53 90.00 90.00°
Element x y z (fractional)
Pd1 0.250 0.346 0.807
Pd2 0.750 0.448 0.605
Pd3 0.750 0.654 0.193
Pd4 0.250 0.552 0.395
Pd5 0.250 0.746 0.998
Pd6 0.750 0.254 0.002
Pt1 0.750 0.952 0.093
Pt2 0.250 0.636 0.701
Pt3 0.750 0.545 0.902
Pt4 0.750 0.837 0.802
Pt5 0.250 0.257 0.509
Pt6 0.250 0.852 0.291
Pt7 0.250 0.048 0.907
Pt8 0.750 0.364 0.299
Pt9 0.250 0.163 0.198
Pt10 0.250 0.455 0.098
Pt11 0.750 0.148 0.709
Pt12 0.750 0.743 0.491
Ce1 0.250 0.934 0.617
Ce2 0.750 0.066 0.383

Properties
As for the volume: 333.14 Å³ per cell. The calculation puts the density of states at the Fermi level at 13.97 states/eV/f.u. As for the total energy: -60.86 eV/f.u.



No. 2
This record from Alexandria via LeMat-Bulk describes CePdPt4 after structural relaxation. The functional is PBE.

Cell: 5.382 5.382 4.462 Å, 90.00 90.00 120.00°
Each line ends with the local moment (μB).
Element x y z (fractional)
Pt1 0.667 0.333 0.000  -0.04
Pt2 0.333 0.166 0.500  -0.02
Pt3 0.834 0.166 0.500  -0.02
Pt4 0.834 0.667 0.500  -0.02
Ce1 0.333 0.667 0.000  0.56
Pd1 0.000 0.000 0.000  -0.03

Properties
As for the volume: 111.90 Å³ per cell. The calculation puts the density of states at the Fermi level at 9.39 states/eV/f.u. The calculation puts the polymorph energy (0 for the lowest one) at 31.9 meV per atom.



No. 3
This record from Alexandria via LeMat-Bulk describes CePd5Pt after structural relaxation. The functional is PBE.

Cell: 5.582 7.787 6.878 Å, 124.48 98.61 90.00°
Element x y z (fractional)
Pd1 0.653 0.069 0.719
Pd2 0.347 0.931 0.281
Pd3 0.750 0.652 0.500
Pd4 0.463 0.223 0.122
Pd5 0.153 0.150 0.719
Pd6 0.537 0.777 0.878
Pd7 0.963 0.399 0.122
Pd8 0.250 0.348 0.500
Pd9 0.847 0.850 0.281
Pd10 0.037 0.601 0.878
Ce1 0.250 0.726 0.500
Ce2 0.750 0.274 0.500
Pt1 0.000 0.000 0.000
Pt2 0.500 0.500 0.000

Properties
As for the volume: 242.35 Å³ per cell. The calculation puts the density of states at the Fermi level at 4.25 states/eV/f.u. The calculation puts the polymorph energy (0 for the lowest one) at 0.0 meV per atom.